# 1
Here is a relaxed Pm8Dy6Th crystal from the Alexandria database. Energies are from GGA-PBE.

The structure in POSCAR format:
```
Pm8Dy6Th
1.0
4.5583 2.6317 6.9772
-4.5583 2.6317 6.9772
0.0000 -5.2635 6.9772
Pm Dy Th
8 6 1
Cartesian
0.0000 0.0000 1.6303
-1.8126 0.8446 7.5787
0.1748 -1.9921 7.5787
-1.6378 -1.1474 13.3527
1.6378 1.1474 7.5787
-0.1748 1.9921 13.3528
1.8126 -0.8446 13.3528
0.0000 0.0000 19.3012
-2.5528 -2.2502 9.6174
-3.2251 1.0857 11.3141
0.6723 -3.3358 11.3141
-0.6723 3.3358 9.6174
3.2251 -1.0857 9.6174
2.5528 2.2502 11.3141
0.0000 0.0000 10.4657
```

Output
* DOS(E_F): 23.24 states/eV per cell
* total energy: -71.21 eV for the cell shown
* energy of formation: 0.12 eV/atom



# 2
Here is a relaxed Pm2Dy6Th crystal from the Alexandria database. Energies are from GGA-PBE.

The structure in POSCAR format:
```
Pm2Dy6Th
1.0
3.5795 0.0000 0.0000
-1.7898 3.1000 0.0000
0.0000 0.0000 26.4851
Pm Dy Th
2 6 1
Cartesian
0.0000 0.0000 4.5261
0.0000 0.0000 21.9590
0.0000 0.0000 10.3412
0.0000 0.0000 16.1439
1.7898 1.0333 1.6791
1.7898 1.0333 7.5130
1.7898 1.0333 18.9721
1.7898 1.0333 24.8061
1.7898 1.0333 13.2426
```

Output
* DOS(E_F): 16.81 states/eV per cell
* total energy: -43.92 eV for the cell shown
* energy of formation: 0.07 eV/atom



# 3
Here is a relaxed Pm5Dy2Th crystal from the Alexandria database. Energies are from GGA-PBE.

The structure in POSCAR format:
```
Pm5Dy2Th
1.0
7.2218 0.0000 0.0000
0.0000 14.4535 0.0000
0.0000 0.0000 5.1157
Pm Dy Th
10 4 2
Cartesian
0.0000 0.0000 0.0000
0.0389 3.6348 0.0000
1.7868 5.4484 2.5579
1.8241 12.6751 2.5579
3.5720 10.8615 0.0000
3.6109 7.2267 0.0000
3.6499 3.5920 0.0000
5.3977 1.7784 2.5579
5.4350 9.0051 2.5579
7.1829 10.8187 0.0000
1.7404 8.9965 2.5579
1.8706 1.7697 2.5579
5.3513 12.6837 2.5579
5.4815 5.4570 2.5579
0.0000 7.2267 0.0000
3.6109 0.0000 0.0000
```

Output
* DOS(E_F): 21.65 states/eV per cell
* total energy: -80.32 eV for the cell shown
* energy of formation: 0.03 eV/atom



# 4
Here is a relaxed Pm4Dy4Th3 crystal from the Alexandria database. Energies are from GGA-PBE.

The structure in POSCAR format:
```
Pm4Dy4Th3
1.0
18.9793 -2.7383 0.0000
18.9793 2.7383 0.0000
-0.3184 0.0000 3.4892
Pm Dy Th
4 4 3
Cartesian
3.5456 0.0000 0.3160
10.2492 0.0000 2.7186
27.3910 0.0000 0.7706
34.0947 0.0000 3.1733
6.7221 0.0000 2.3692
17.1563 0.0000 1.5984
20.4840 0.0000 1.8908
30.9181 0.0000 1.1201
0.0000 0.0000 0.0000
13.7146 0.0000 1.2846
23.9257 0.0000 2.2046
```

Output
* DOS(E_F): 15.54 states/eV per cell
* total energy: -58.55 eV for the cell shown
* energy of formation: 0.10 eV/atom



# 5
Here is a relaxed Pm2Dy8Th crystal from the Alexandria database. Energies are from GGA-PBE.

The structure in POSCAR format:
```
Pm2Dy8Th
1.0
9.6108 -3.4251 0.0000
9.6108 3.4251 0.0000
-0.3647 0.0000 5.5825
Pm Dy Th
2 8 1
Cartesian
4.0984 0.0000 1.4117
14.7585 0.0000 4.1708
0.8466 0.0000 1.2885
7.0412 1.7870 1.5258
5.8088 0.0000 4.3290
11.8157 1.7870 4.0567
7.0412 -1.7870 1.5258
13.0480 0.0000 1.2535
11.8157 -1.7870 4.0567
18.0102 0.0000 4.2940
9.6108 0.0000 0.0000
```

Output
* DOS(E_F): 17.89 states/eV per cell
* distance to the lowest polymorph of the same formula: 0.1645 eV/atom
* total energy: -51.65 eV for the cell shown
* energy of formation: 0.19 eV/atom



# 6
Here is a relaxed Pm5Dy4Th crystal from the Alexandria database. Energies are from GGA-PBE.

The structure in POSCAR format:
```
Pm5Dy4Th
1.0
9.1148 -1.7897 0.0000
9.1148 1.7897 0.0000
-1.2201 0.0000 10.4991
Pm Dy Th
5 4 1
Cartesian
0.0000 0.0000 0.0000
4.5482 0.0000 9.4918
6.2474 0.0000 2.8972
10.7621 0.0000 7.6019
12.4612 0.0000 1.0074
2.7861 0.0000 4.3761
7.3409 0.0000 7.7648
9.6685 0.0000 2.7343
14.2234 0.0000 6.1230
-0.6100 0.0000 5.2496
```

Output
* DOS(E_F): 15.07 states/eV per cell
* distance to the lowest polymorph of the same formula: 0.0000 eV/atom
* total energy: -48.02 eV for the cell shown
* energy of formation: 0.16 eV/atom



# 7
Here is a relaxed Pm2Dy4Th3 crystal from the Alexandria database. Energies are from GGA-PBE.

The structure in POSCAR format:
```
Pm2Dy4Th3
1.0
3.5716 0.0000 0.0000
-1.7858 3.0931 0.0000
0.0000 0.0000 26.6681
Pm Dy Th
2 4 3
Cartesian
0.0000 0.0000 0.0000
0.0000 0.0000 5.8931
0.0000 0.0000 9.2769
0.0000 0.0000 15.0505
0.0000 2.0620 17.9007
0.0000 2.0620 23.7028
0.0000 0.0000 20.8134
0.0000 2.0620 2.9885
0.0000 2.0620 12.0971
```

Output
* DOS(E_F): 17.89 states/eV per cell
* total energy: -49.45 eV for the cell shown
* energy of formation: 0.08 eV/atom



# 8
Here is a relaxed Pm7Dy4Th crystal from the Alexandria database. Energies are from GGA-PBE.

The structure in POSCAR format:
```
Pm7Dy4Th
1.0
6.0681 -3.0233 0.0000
6.0681 3.0233 0.0000
-6.0487 0.0000 11.2456
Pm Dy Th
7 4 1
Cartesian
0.0000 0.0000 0.0000
-3.0373 0.0000 10.3538
-1.2270 0.0000 7.6023
1.4794 0.0000 5.6416
4.6080 0.0000 5.6040
7.3144 0.0000 3.6432
9.1247 0.0000 0.8918
-1.1191 0.0000 3.5842
3.0458 0.0000 2.5127
3.0416 0.0000 8.7329
7.2065 0.0000 7.6613
6.0681 0.0000 0.0000
```

Output
* DOS(E_F): 16.76 states/eV per cell
* distance to the lowest polymorph of the same formula: 0.2636 eV/atom
* total energy: -55.73 eV for the cell shown
* energy of formation: 0.28 eV/atom